Entry 1:
An optimized crystal structure of ThZnNiRh, computed with GGA-PBE.

SG: F-43m
ΔE to the lowest computed polymorph in meV/atom: 146

Lattice parameters (Å, degrees): 4.6840 4.6840 4.6840 60.00 60.00 60.00
Atoms (fractional coordinates):
1 Ni 0.2500 0.2500 0.2500
2 Zn 0.0000 0.0000 0.0000
3 Rh 0.7500 0.7500 0.7500
4 Th 0.5000 0.5000 0.5000

Entry 2:
An optimized crystal structure of Th2Zn2Ni5Rh, computed with GGA-PBE.

SG: P4/mbm

Lattice parameters (Å, degrees): 3.7214 9.2726 9.2726 90.00 90.00 90.00
Atoms (fractional coordinates):
1 Th 0.0000 0.6880 0.1880
2 Th 0.0000 0.3120 0.8120
3 Th 0.0000 0.1880 0.3120
4 Th 0.0000 0.8120 0.6880
5 Zn 0.0000 0.1086 0.6086
6 Zn 0.0000 0.8914 0.3914
7 Zn 0.0000 0.6086 0.8914
8 Zn 0.0000 0.3914 0.1086
9 Ni 0.5000 0.2079 0.0560
10 Ni 0.5000 0.7921 0.9440
11 Ni 0.5000 0.0560 0.7921
12 Ni 0.5000 0.7079 0.4440
13 Ni 0.5000 0.9440 0.2079
14 Ni 0.5000 0.2921 0.5560
15 Ni 0.5000 0.5560 0.7079
16 Ni 0.5000 0.4440 0.2921
17 Ni 0.5000 0.5000 0.0000
18 Ni 0.5000 0.0000 0.5000
19 Rh 0.0000 0.0000 0.0000
20 Rh 0.0000 0.5000 0.5000

Entry 3:
An optimized crystal structure of ThZnNiRh, computed with GGA-PBE.

SG: Cm
ΔE to the lowest computed polymorph in meV/atom: 0

Lattice parameters (Å, degrees): 4.2823 4.2802 5.2506 114.22 90.00 120.02
Atoms (fractional coordinates):
1 Th 0.6177 0.2354 0.4953
2 Zn 0.1218 0.2437 0.0075
3 Ni 0.8248 0.6495 0.1160
4 Rh 0.4020 0.8040 0.8486

Entry 4:
An optimized crystal structure of ThZn2Ni2Rh, computed with GGA-PBE.

SG: P4/mmm

Lattice parameters (Å, degrees): 4.6565 4.6565 5.2116 90.00 90.00 90.00
Atoms (fractional coordinates):
1 Th 0.0000 0.0000 0.5000
2 Zn 0.5000 0.0000 0.0000
3 Zn 0.0000 0.5000 0.0000
4 Ni 0.5000 0.5000 0.7454
5 Ni 0.5000 0.5000 0.2546
6 Rh 0.0000 0.0000 0.0000

Entry 5:
An optimized crystal structure of Ti2Ni2Rh, computed with GGA-PBE.

SG: Cmmm
ΔE to the lowest computed polymorph in meV/atom: 299

Lattice parameters (Å, degrees): 3.6386 3.6386 5.7688 90.01 90.01 106.42
Atoms (fractional coordinates):
1 Ti 0.4998 0.4998 0.2444
2 Ti 0.5002 0.5002 0.7556
3 Ni 0.1866 0.8134 0.5000
4 Ni 0.8134 0.1866 0.5000
5 Rh 0.0000 0.0000 0.0000

Entry 6:
An optimized crystal structure of TiNi3Rh, computed with GGA-PBE.

SG: Pm-3m
ΔE to the lowest computed polymorph in meV/atom: 1208

Lattice parameters (Å, degrees): 4.2174 4.2174 4.2174 90.00 90.00 90.00
Atoms (fractional coordinates):
1 Ni 0.0000 0.5000 0.0000
2 Ni 0.0000 0.0000 0.5000
3 Ni 0.5000 0.0000 0.0000
4 Rh 0.5000 0.5000 0.5000
5 Ti 0.0000 0.0000 0.0000

Entry 7:
An optimized crystal structure of Ti4Ni3Rh3, computed with GGA-PBE.

SG: I-43d

Lattice parameters (Å, degrees): 7.2300 7.2300 7.2300 109.47 109.47 109.47
Atoms (fractional coordinates):
1 Ti 0.0000 0.0000 0.2655
2 Ti 0.5000 0.2655 0.5000
3 Ti 0.7345 0.2345 0.2345
4 Ti 0.0000 0.0000 0.7655
5 Ti 0.7655 0.5000 0.0000
6 Ti 0.5000 0.7655 0.5000
7 Ti 0.2655 0.5000 0.0000
8 Ti 0.2345 0.7345 0.7345
9 Ni 0.1250 0.7500 0.3750
10 Ni 0.3750 0.2500 0.1250
11 Ni 0.6250 0.8750 0.2500
12 Ni 0.8750 0.6250 0.7500
13 Ni 0.2500 0.3750 0.6250
14 Ni 0.7500 0.1250 0.8750
15 Rh 0.6250 0.7500 0.8750
16 Rh 0.8750 0.2500 0.6250
17 Rh 0.1250 0.3750 0.2500
18 Rh 0.3750 0.1250 0.7500
19 Rh 0.2500 0.8750 0.1250
20 Rh 0.7500 0.6250 0.3750

Entry 8:
An optimized crystal structure of Ti3Ni5Rh, computed with GGA-PBE.

SG: I4/mcm

Lattice parameters (Å, degrees): 7.0581 7.0581 7.0435 120.07 120.07 90.00
Atoms (fractional coordinates):
1 Ti 0.6178 0.1178 0.0000
2 Ti 0.3822 0.8822 0.0000
3 Ti 0.8822 0.6178 0.0000
4 Ti 0.1178 0.3822 0.0000
5 Ti 0.2500 0.2500 0.5000
6 Ti 0.7500 0.7500 0.5000
7 Ni 0.0775 0.5775 0.7369
8 Ni 0.6595 0.1595 0.7369
9 Ni 0.1595 0.0775 0.7369
10 Ni 0.5775 0.6595 0.7369
11 Ni 0.9225 0.4225 0.2631
12 Ni 0.3405 0.8405 0.2631
13 Ni 0.8405 0.9225 0.2631
14 Ni 0.4225 0.3405 0.2631
15 Ni 0.5000 0.5000 0.0000
16 Ni 0.0000 0.0000 0.0000
17 Rh 0.7500 0.2500 0.5000
18 Rh 0.2500 0.7500 0.5000

Entry 9:
An optimized crystal structure of Ti2Ni6Rh, computed with GGA-PBE.

SG: Immm

Lattice parameters (Å, degrees): 4.1618 7.2059 5.6471 129.64 111.58 90.00
Atoms (fractional coordinates):
1 Ti 0.6853 0.6854 0.3707
2 Ti 0.3147 0.3146 0.6293
3 Ni 0.1624 0.4792 0.3252
4 Ni 0.8376 0.1541 0.6748
5 Ni 0.8376 0.5208 0.6748
6 Ni 0.5000 0.2007 0.0000
7 Ni 0.1624 0.8459 0.3252
8 Ni 0.5000 0.7993 0.0000
9 Rh 0.0000 0.0000 0.0000

Entry 10:
An optimized crystal structure of Ti8Ni5Rh, computed with GGA-PBE.

SG: I-4

Lattice parameters (Å, degrees): 6.5032 6.5032 6.5032 107.63 113.21 107.63
Atoms (fractional coordinates):
1 Ti 0.1778 0.8051 0.0275
2 Ti 0.9725 0.1504 0.7777
3 Ti 0.7274 0.2199 0.3122
4 Ti 0.6878 0.4153 0.9077
5 Ti 0.4924 0.5847 0.2726
6 Ti 0.6273 0.8496 0.8222
7 Ti 0.2223 0.1949 0.3727
8 Ti 0.0923 0.7801 0.5076
9 Ni 0.0600 0.4296 0.2132
10 Ni 0.7868 0.8468 0.2163
11 Ni 0.7837 0.5704 0.6304
12 Ni 0.5000 0.0000 0.5000
13 Ni 0.3696 0.1532 0.9400
14 Rh 0.2500 0.5000 0.7500

Entry 11:
An optimized crystal structure of TiNiRh4, computed with GGA-PBE.

SG: P4/mmm

Lattice parameters (Å, degrees): 5.7361 5.7548 5.7546 90.00 90.00 89.94
Atoms (fractional coordinates):
1 Ti 0.0000 0.2500 0.7500
2 Ti 0.0000 0.7500 0.2500
3 Ni 0.5000 0.2500 0.2499
4 Ni 0.5000 0.7500 0.7501
5 Rh 0.2540 0.5000 0.9999
6 Rh 0.2541 0.5000 0.5001
7 Rh 0.7460 0.0000 0.9999
8 Rh 0.7459 0.5000 0.4999
9 Rh 0.7459 0.0000 0.5001
10 Rh 0.2540 0.0000 0.0001
11 Rh 0.2541 0.0000 0.4999
12 Rh 0.7460 0.5000 0.0001

Entry 12:
An optimized crystal structure of Ti2NiRh, computed with GGA-PBE.

SG: P4/mmm

Lattice parameters (Å, degrees): 3.4194 4.0940 4.0940 90.00 90.00 90.00
Atoms (fractional coordinates):
1 Ni 0.5000 0.0000 0.0000
2 Rh 0.5000 0.5000 0.5000
3 Ti 0.0000 0.0000 0.5000
4 Ti 0.0000 0.5000 0.0000

Quick rundown of spin magnetization, same order as above: 0.00 0.00 0.00 0.00 0.00 0.00 0.00 0.00 0.00 0.00 0.00 0.00 μB/f.u.
Quick rundown of formation enthalpy at 0 K, same order as above: -0.43 -0.19 -0.58 -0.04 -0.19 0.94 -0.35 0.00 -0.18 -0.19 0.05 -0.54 eV per atom